Record 1
The following is a DFT calculation (GGA-PBE) of CsAs2Cl7 after structural relaxation.

Cell and atoms, written as POSCAR:
```
CsAs2Cl7
1.0
-2.6864 1.0331 -4.2009
10.8863 -3.0541 -7.7127
-7.2917 -4.3793 3.5860
Cl As Cs
7 2 1
Cartesian
-1.1030 -3.5242 -0.1613
-3.3410 -1.0409 -1.2059
-0.5641 -1.8200 -3.1733
4.2492 -5.3594 -7.1217
1.4723 -4.5803 -5.1543
4.0999 -1.0105 -5.9568
4.6976 -3.9092 -3.9654
3.3069 -3.5443 -6.0728
-2.3988 -2.8560 -2.2548
0.0000 0.0000 0.0000
```

Properties
- Symmetry: Cmmm (65)


Record 2
The following is a DFT calculation (GGA-PBE) of Sc2CoCl after structural relaxation.

Cell and atoms, written as POSCAR:
```
Sc2CoCl
1.0
3.1218 0.0000 0.0000
0.0000 3.2179 -0.0218
0.0000 0.0453 7.4890
Sc Co Cl
2 1 1
Cartesian
0.0000 0.8467 7.1363
0.0000 0.8301 4.0863
1.5609 2.4474 5.6004
1.5609 0.8158 1.8668
```

Properties
- ΔE to the lowest computed polymorph: 0.000 eV/atom
- Symmetry: Pmmm (47)


Record 3
The following is a DFT calculation (GGA-PBE) of CdSbIr2 after structural relaxation.

Cell and atoms, written as POSCAR:
```
CdSbIr2
1.0
-1.2910 0.9504 -5.0204
-4.0225 -2.8264 -1.8988
0.8644 2.9264 4.2969
Ir Cd Sb
2 1 1
Cartesian
-2.9074 -0.4190 -0.5307
0.0000 0.0000 0.0000
-1.5417 1.4694 -2.0915
-2.6568 -0.9380 -3.4596
```

Properties
- ΔE to the lowest computed polymorph: 0.160 eV/atom
- Symmetry: I-4m2 (119)


Number 1: formation energy (no corrections) -8.8 eV per formula unit. Number 2: formation energy (no corrections) -3.1 eV per formula unit. Number 3: formation energy (no corrections) 1.3 eV per formula unit.